Material: TlTe2Os
Method: DFT, PBE
State: optimized geometry

Output
Formation energy without anion corrections   1.469 eV/f.u.
Energy above the lowest structure with this stoichiometry   0.257 eV/atom
Crystal system   monoclinic
Space-group type   No. 10
Energy   -4.6025 eV/atom

a = 4.024 Å, b = 3.220 Å, c = 8.374 Å
α = 90.45°, β = 90.00°, γ = 90.00°
Sites, in units of the cell vectors:
Os: 0.500 0.750 0.750
Te: 0.000 0.748 0.952
Te: 0.000 0.752 0.548
Tl: 0.500 0.250 0.250